Record 1
The following is a PBE calculation of a geometry-optimized Sm4SiCI2 structure, from Alexandria via LeMat-Bulk.

Lattice parameters (Å, degrees): 7.1027 4.0461 8.0232 90.00 107.03 90.00
Fractional positions:
Sm 0.2026 0.0000 0.1764
Sm 0.2416 0.5000 0.8151
Sm 0.7584 0.5000 0.1849
Sm 0.7974 0.0000 0.8236
Si 0.5000 0.0000 0.0000
C 0.0000 0.5000 0.0000
I 0.0000 0.0000 0.5000
I 0.5000 0.5000 0.5000

Output
Uncorrected formation energy: -0.79 eV per atom
E_tot: -5.373 eV per atom
Crystal system: monoclinic

=====

Record 2
The following is a PBE calculation of a geometry-optimized La2ZnSn3Pt4 structure, from Alexandria via LeMat-Bulk.

Lattice parameters (Å, degrees): 4.5921 4.5921 10.6241 90.00 90.00 90.00
Fractional positions:
La 0.0000 0.5000 0.2482
La 0.5000 0.0000 0.7518
Zn 0.5000 0.5000 0.0000
Sn 0.0000 0.0000 0.0000
Sn 0.0000 0.5000 0.6300
Sn 0.5000 0.0000 0.3700
Pt 0.0000 0.0000 0.5000
Pt 0.0000 0.5000 0.8753
Pt 0.5000 0.0000 0.1247
Pt 0.5000 0.5000 0.5000

Output
E_tot: -5.607 eV per atom
Formation energy: -0.877 eV per atom
Crystal system: tetragonal

=====

Record 3
The following is a PBE calculation of a geometry-optimized Bi2PtSe structure, from Alexandria via LeMat-Bulk.

Lattice parameters (Å, degrees): 7.9240 7.9240 7.9240 131.77 131.77 70.60
Fractional positions:
Bi 0.0894 0.6250 0.9644
Bi 0.3750 0.3394 0.4644
Bi 0.6606 0.1250 0.0356
Bi 0.8750 0.9106 0.5356
Pt 0.0000 0.0000 0.0000
Pt 0.7500 0.2500 0.5000
Se 0.2500 0.7500 0.5000
Se 0.5000 0.5000 0.0000

Output
Uncorrected formation energy: -0.05 eV per atom
E_tot: -4.370 eV per atom
Crystal system: tetragonal

=====

Record 4
The following is a PBE calculation of a geometry-optimized LaScTl3 structure, from Alexandria via LeMat-Bulk.

Lattice parameters (Å, degrees): 5.9484 5.9484 5.9484 90.00 90.00 90.00
Fractional positions:
La 0.0000 0.0000 0.0000
Sc 0.5000 0.5000 0.5000
Tl 0.0000 0.0000 0.5000
Tl 0.0000 0.5000 0.0000
Tl 0.5000 0.0000 0.0000

Output
E_tot: -2.881 eV per atom
Formation energy: 0.791 eV per atom
Crystal system: cubic

=====

Record 5
The following is a PBE calculation of a geometry-optimized SrPm2Cl8 structure, from Alexandria via LeMat-Bulk.

Lattice parameters (Å, degrees): 7.5726 7.5726 5.4496 97.73 97.73 111.20
Fractional positions:
Sr 0.0000 0.0000 0.0000
Pm 0.3172 0.6828 0.5000
Pm 0.6828 0.3172 0.5000
Cl 0.0621 0.3254 0.5841
Cl 0.2396 0.7604 0.0000
Cl 0.3254 0.0621 0.5841
Cl 0.3775 0.3775 0.1964
Cl 0.6225 0.6225 0.8036
Cl 0.6746 0.9379 0.4159
Cl 0.7604 0.2396 0.0000
Cl 0.9379 0.6746 0.4159

Output
Uncorrected formation energy: -2.28 eV per atom
E_tot: -4.636 eV per atom
Crystal system: monoclinic

=====

Record 6
The following is a PBE calculation of a geometry-optimized BaTaPb2 structure, from Alexandria via LeMat-Bulk.

Lattice parameters (Å, degrees): 10.9739 10.9739 10.9739 18.17 18.17 18.17
Fractional positions:
Ba 0.0000 0.0000 0.0000
Ta 0.5000 0.5000 0.5000
Pb 0.2381 0.2381 0.2381
Pb 0.7619 0.7619 0.7619

Output
E_tot: -4.942 eV per atom
Formation energy: 0.356 eV per atom
Crystal system: trigonal